VASP calculation (PBE) on a relaxed AgTeAu2 crystal.

Lattice parameters (Å, degrees): 10.4206 10.4206 10.4206 16.94 16.94 16.94
Last column: nearest neighbours and their distance in Å.
Positions (direct):
Te: 0.2500 0.2500 0.2500  6 Te 3.07, 6 Au 3.36
Au: 0.0092 0.0092 0.0092  3 Ag 2.89, 6 Au 3.07
Au: 0.4908 0.4908 0.4908  3 Ag 2.89, 6 Au 3.07
Ag: 0.7500 0.7500 0.7500  6 Au 2.89, 6 Ag 3.07

- Density: 12.5 g/cm³
- Raw formation energy: 0.79 eV per formula unit